A relaxed MnSn3Pd12 crystal. Source: the Alexandria database, functional PBE-GGA.

Unit cell a=4.0210 b=4.0210 c=15.9648 alpha=90.00 beta=90.00 gamma=90.00
Closest atoms and distances in Å follow each position.
Space group P4/mmm (No. 123)
Symmetry-distinct sites (fractional):
1 Mn 0.0000 0.0000 0.0000 [1 per cell]  12 Pd 2.78-2.84
2 Sn 0.0000 0.0000 0.2447 [2 per cell]  12 Pd 2.83-2.87
3 Sn 0.0000 0.0000 0.5000 [1 per cell]  12 Pd 2.84-2.86
4 Pd 0.0000 0.5000 0.1199 [4 per cell]  2 Mn 2.78, 8 Pd 2.78-2.86, 2 Sn 2.83
5 Pd 0.0000 0.5000 0.3730 [4 per cell]  8 Pd 2.84-2.86, 4 Sn 2.86-2.87
6 Pd 0.5000 0.5000 0.0000 [1 per cell]  8 Pd 2.78, 4 Mn 2.84
7 Pd 0.5000 0.5000 0.2473 [2 per cell]  8 Pd 2.84-2.86, 4 Sn 2.84
8 Pd 0.5000 0.5000 0.5000 [1 per cell]  4 Sn 2.84, 8 Pd 2.86

Properties
density = 10.86 g cm⁻³
E = -0.207 hartree per atom
energy of formation from the pure elements = -427 meV per atom



A relaxed NaMg15In4 crystal. Source: the Alexandria database, functional PBE-GGA.

Unit cell a=4.5707 b=4.5707 c=22.2253 alpha=90.00 beta=90.00 gamma=90.00
Closest atoms and distances in Å follow each position.
Space group P4/mmm (No. 123)
Symmetry-distinct sites (fractional):
1 Na 0.0000 0.0000 0.0000 [1 per cell]  12 Mg 3.23-3.29
2 Mg 0.0000 0.5000 0.1062 [4 per cell]  2 In 3.15, 8 Mg 3.16-3.29, 2 Na 3.29
3 Mg 0.0000 0.5000 0.3022 [4 per cell]  8 Mg 3.15-3.23, 4 In 3.16
4 Mg 0.0000 0.5000 0.5000 [2 per cell]  8 Mg 3.17-3.23, 4 In 3.18
5 Mg 0.5000 0.5000 0.0000 [1 per cell]  4 Na 3.23, 8 Mg 3.29
6 Mg 0.5000 0.5000 0.2046 [2 per cell]  8 Mg 3.15-3.16, 4 In 3.23
7 Mg 0.5000 0.5000 0.4011 [2 per cell]  8 Mg 3.17, 4 In 3.23
8 In 0.0000 0.0000 0.2038 [2 per cell]  12 Mg 3.15-3.23
9 In 0.0000 0.0000 0.4007 [2 per cell]  12 Mg 3.16-3.23

Properties
density = 3.03 g cm⁻³
E = -0.068 hartree per atom
energy of formation from the pure elements = -45 meV per atom



A relaxed Hf2CrP2 crystal. Source: the Alexandria database, functional PBE-GGA.

Unit cell a=6.3553 b=6.3553 c=3.7727 alpha=90.00 beta=90.00 gamma=90.00
Closest atoms and distances in Å follow each position.
Space group P4/mbm (No. 127)
Symmetry-distinct sites (fractional):
1 Hf 0.1670 0.3330 0.0000 [4 per cell]  6 P 2.55-2.73
2 Cr 0.0000 0.0000 0.5000 [2 per cell]  4 P 2.45
3 P 0.1423 0.6423 0.5000 [4 per cell]  2 Cr 2.45, 6 Hf 2.55-2.73, 1 P 2.56

Properties
density = 10.26 g cm⁻³
E = -0.328 hartree per atom
energy of formation from the pure elements = -849 meV per atom



A relaxed Np2GaSi2Ir5 crystal. Source: the Alexandria database, functional PBE-GGA.

Unit cell a=9.6109 b=9.6109 c=3.6065 alpha=90.00 beta=90.00 gamma=90.00
Closest atoms and distances in Å follow each position.
Space group P4/mbm (No. 127)
Symmetry-distinct sites (fractional):
1 Np 0.1766 0.3234 0.0000 [4 per cell]  3 Si 2.71-2.93, 2 Ir 3.00
2 Ga 0.0000 0.0000 0.0000 [2 per cell]  8 Ir 2.78
3 Si 0.1237 0.6237 0.0000 [4 per cell]  6 Ir 2.47-2.48, 1 Np 2.71
4 Ir 0.0000 0.5000 0.5000 [2 per cell]  4 Si 2.47
5 Ir 0.0662 0.7907 0.5000 [8 per cell]  2 Si 2.48

Properties
density = 15.56 g cm⁻³
E = -0.325 hartree per atom



A relaxed KMoAs2 crystal. Source: the Alexandria database, functional PBE-GGA.

Unit cell a=3.1815 b=3.2121 c=8.0448 alpha=90.00 beta=90.00 gamma=90.00
Closest atoms and distances in Å follow each position.
Space group Pmmm (No. 47)
Symmetry-distinct sites (fractional):
1 K 0.0000 0.0000 0.0000 [1 per cell]  4 K 3.18-3.21, 8 As 3.40
2 Mo 0.0000 0.0000 0.5000 [1 per cell]  8 As 2.71
3 As 0.5000 0.5000 0.3152 [2 per cell]  4 Mo 2.71, 1 As 2.97

Properties
energy relative to the lowest polymorph listed for this composition = 0.000 eV/atom
density = 5.75 g cm⁻³
E = -0.203 hartree per atom
energy of formation from the pure elements = -224 meV per atom



A relaxed LiSnSe4 crystal. Source: the Alexandria database, functional PBE-GGA.

Unit cell a=5.5298 b=7.4284 c=8.4204 alpha=90.00 beta=111.55 gamma=90.00
Closest atoms and distances in Å follow each position.
Space group P2/c (No. 13)
Symmetry-distinct sites (fractional):
1 Li 0.0000 0.2296 0.2500 [2 per cell]  4 Se 2.61-2.69
2 Sn 0.5000 0.2562 0.7500 [2 per cell]  4 Se 2.58-2.64
3 Se 0.2365 0.4576 0.8776 [4 per cell]  1 Sn 2.58, 1 Li 2.69, 1 Se 2.71
4 Se 0.2526 0.0226 0.5077 [4 per cell]  1 Li 2.61, 1 Sn 2.64, 2 Se 2.77-2.81

Properties
density = 4.56 g cm⁻³
E = -0.135 hartree per atom



A relaxed CaAl2Au10 crystal. Source: the Alexandria database, functional PBE-GGA.

Unit cell a=5.6454 b=12.5697 c=14.1021 alpha=90.00 beta=90.00 gamma=90.00
Closest atoms and distances in Å follow each position.
Space group Fmmm (No. 69)
Symmetry-distinct sites (fractional):
1 Ca 0.0000 0.0000 0.0000 [4 per cell]  4 Au 3.06
2 Al 0.2500 0.0000 0.2500 [8 per cell]  8 Au 2.68, 2 Al 2.82
3 Au 0.0000 0.1123 0.3766 [16 per cell]  2 Al 2.68, 7 Au 2.82-3.00
4 Au 0.0000 0.1555 0.1674 [16 per cell]  2 Al 2.68, 5 Au 2.94-3.00
5 Au 0.2500 0.2500 0.0000 [8 per cell]  10 Au 2.82-3.00

Properties
density = 13.70 g cm⁻³
E = -0.132 hartree per atom
energy of formation from the pure elements = -337 meV per atom



A relaxed YAlSi2Ni5 crystal. Source: the Alexandria database, functional PBE-GGA.

Unit cell a=4.2492 b=4.2492 c=7.0953 alpha=90.00 beta=90.00 gamma=90.00
Closest atoms and distances in Å follow each position.
Space group P4/mmm (No. 123)
Symmetry-distinct sites (fractional):
1 Y 0.0000 0.0000 0.0000 [1 per cell]  12 Ni 2.76-3.00
2 Al 0.0000 0.0000 0.5000 [1 per cell]  8 Ni 2.77
3 Si 0.5000 0.5000 0.3388 [2 per cell]  5 Ni 2.22-2.40, 1 Si 2.29
4 Ni 0.0000 0.5000 0.2488 [4 per cell]  2 Si 2.22
5 Ni 0.5000 0.5000 0.0000 [1 per cell]  2 Si 2.40

Properties
density = 6.03 g cm⁻³
E = -0.215 hartree per atom